Record 1
DFT (PBE-GGA) results for a relaxed MgSiHg2 crystal.

abc: 3.4296 4.1785 5.9340
angles: 90.00 90.00 90.00
With the nearest neighbours (Å) after each atom.
Positions (direct):
Mg 0.0000 0.0000 0.0000  6 Hg 2.83-3.10, 4 Si 3.02
Si 0.5000 0.5000 0.2253  6 Hg 2.81-3.13, 4 Mg 3.02
Hg 0.0000 0.0000 0.4772  2 Mg 2.83-3.10, 4 Si 3.09, 4 Hg 3.16
Hg 0.5000 0.5000 0.7525  2 Si 2.81-3.13, 4 Mg 3.08

## Properties
- space group = Pmm2 (25)
- energy above the lowest structure with this stoichiometry (meV/atom) = 36



Record 2
DFT (PBE-GGA) results for a relaxed MgSi2Hg crystal.

abc: 7.3429 7.3429 7.3429
angles: 29.40 29.40 29.40
With the nearest neighbours (Å) after each atom.
Positions (direct):
Mg 0.0000 0.0000 0.0000  3 Si 2.85, 3 Hg 2.98
Si 0.4678 0.4678 0.4678  3 Si 2.36
Si 0.7556 0.7556 0.7556  3 Si 2.36
Hg 0.2352 0.2352 0.2352  3 Mg 2.98, 3 Si 3.02

## Properties
- space group = R3m (160)
- energy above the lowest structure with this stoichiometry (meV/atom) = 12



Record 3
DFT (PBE-GGA) results for a relaxed MgSiHg2 crystal.

abc: 5.3101 5.3101 5.3101
angles: 131.13 131.13 71.61
With the nearest neighbours (Å) after each atom.
Positions (direct):
Mg 0.0000 0.0000 0.0000  8 Hg 3.08, 4 Si 3.11
Si 0.5000 0.5000 0.0000  8 Hg 3.08, 4 Mg 3.11
Hg 0.2500 0.7500 0.5000  4 Mg 3.08, 4 Si 3.08, 4 Hg 3.11
Hg 0.7500 0.2500 0.5000  4 Mg 3.08, 4 Si 3.08, 4 Hg 3.11

## Properties
- space group = I4/mmm (139)
- energy above the lowest structure with this stoichiometry (meV/atom) = 39



Record 4
DFT (PBE-GGA) results for a relaxed MgSiHg2 crystal.

abc: 4.9482 4.9482 4.9482
angles: 60.00 60.00 60.00
With the nearest neighbours (Å) after each atom.
Positions (direct):
Mg 0.0000 0.0000 0.0000  4 Hg 3.03, 4 Si 3.03
Si 0.2500 0.2500 0.2500  4 Hg 3.03, 4 Mg 3.03
Hg 0.5000 0.5000 0.5000  4 Hg 3.03, 4 Si 3.03
Hg 0.7500 0.7500 0.7500  4 Hg 3.03, 4 Mg 3.03

## Properties
- space group = F-43m (216)
- energy above the lowest structure with this stoichiometry (meV/atom) = 102



Record 5
DFT (PBE-GGA) results for a relaxed MgSiHg4 crystal.

abc: 5.9047 5.9047 5.9047
angles: 60.00 60.00 60.00
With the nearest neighbours (Å) after each atom.
Positions (direct):
Mg 0.0000 0.0000 0.0000  12 Hg 3.46, 4 Si 3.62
Si 0.7500 0.7500 0.7500  12 Hg 3.46, 4 Mg 3.62
Hg 0.3752 0.3752 0.3752  6 Hg 2.95-2.96
Hg 0.3752 0.3752 0.8744  6 Hg 2.95-2.96
Hg 0.3752 0.8744 0.3752  6 Hg 2.95-2.96
Hg 0.8744 0.3752 0.3752  6 Hg 2.95-2.96

## Properties
- space group = F-43m (216)



Record 6
DFT (PBE-GGA) results for a relaxed MgSiHg2 crystal.

abc: 8.5039 8.5039 8.5039
angles: 23.69 23.69 23.69
With the nearest neighbours (Å) after each atom.
Positions (direct):
Mg 0.0000 0.0000 0.0000  6 Hg 2.96
Si 0.5000 0.5000 0.5000  6 Hg 2.81
Hg 0.2458 0.2458 0.2458  3 Si 2.81, 3 Mg 2.96
Hg 0.7542 0.7542 0.7542  3 Si 2.81, 3 Mg 2.96

## Properties
- space group = R-3m (166)
- energy above the lowest structure with this stoichiometry (meV/atom) = 36



Record 7
DFT (PBE-GGA) results for a relaxed MgSi2Hg crystal.

abc: 3.4015 3.4015 6.7188
angles: 90.00 90.00 90.00
With the nearest neighbours (Å) after each atom.
Positions (direct):
Mg 0.0000 0.0000 0.0000  1 Si 2.72, 4 Hg 2.98
Si 0.0000 0.0000 0.4047  4 Si 2.51, 1 Mg 2.72
Si 0.5000 0.5000 0.2992  4 Si 2.51
Hg 0.5000 0.5000 0.7374  5 Si 2.94-3.28, 4 Mg 2.98

## Properties
- space group = P4mm (99)
- energy above the lowest structure with this stoichiometry (meV/atom) = 119



Record 8
DFT (PBE-GGA) results for a relaxed MgSi2Hg crystal.

abc: 2.8122 2.8122 10.1420
angles: 90.00 90.00 90.00
With the nearest neighbours (Å) after each atom.
Positions (direct):
Mg 0.0000 0.0000 0.0000  4 Mg 2.81, 8 Si 2.89
Si 0.5000 0.5000 0.2065  4 Si 2.81, 4 Mg 2.89
Si 0.5000 0.5000 0.7935  4 Si 2.81, 4 Mg 2.89
Hg 0.0000 0.0000 0.5000  4 Hg 2.81

## Properties
- space group = P4/mmm (123)
- energy above the lowest structure with this stoichiometry (meV/atom) = 248



Number 1: final energy -6.88 eV per formula unit. Number 2: final energy -12.31 eV per formula unit. Number 3: final energy -6.86 eV per formula unit. Number 4: final energy -6.61 eV per formula unit. Number 5: final energy -5.84 eV per formula unit. Number 6: final energy -6.87 eV per formula unit. Number 7: final energy -11.88 eV per formula unit. Number 8: final energy -11.37 eV per formula unit.